{
  "formula": "SbMoO4",
  "functional": "GGA+U",
  "state": "optimized geometry",
  "energy_ev_per_cell": -40.3,
  "dos_ef_per_ev_cell": 0.2,
  "density_g_cm3": 6.21,
  "lattice": [[3.355, -3.463, 0.000], [3.355, 3.463, 0.000], [0.000, 0.000, 3.240]],
  "species": ["Sb", "Mo", "O", "O", "O", "O"],
  "frac_coords": [[0.000, 0.000, 0.000], [0.500, 0.500, 0.500], [0.185, 0.815, 0.500], [0.294, 0.294, 0.000], [0.706, 0.706, 0.000], [0.815, 0.185, 0.500]]
}